{
  "formula": "Na2AgGe2",
  "functional": "GGA-PBEsol",
  "state": "optimized geometry",
  "lattice_angstrom": [[4.8175, 0.0000, 0.0000], [0.0000, 6.6022, 0.0000], [0.0000, 0.0000, 6.6022]],
  "species": ["Ge", "Na", "Na", "Na", "Ag", "Ag", "Na", "Ge", "Ge", "Ge"],
  "frac_coords": [[0.0000, 0.1310, 0.3690], [0.5000, 0.6748, 0.8252], [0.5000, 0.1748, 0.6748], [0.5000, 0.8252, 0.3252], [0.0000, 0.5000, 0.5000], [0.0000, 0.0000, 0.0000], [0.5000, 0.3252, 0.1748], [0.0000, 0.8690, 0.6310], [0.0000, 0.3690, 0.8690], [0.0000, 0.6310, 0.1310]],
  "delta_e_f_mev_per_atom": -68,
  "magnetic_moment_mub_per_cell": 0.0,
  "mass_density_g_cm3": 4.7
}